GGA-PBE SrCaEuLu, optimized geometry; DFT total energy = -71.1 eV per cell; space group = No. 216; formation enthalpy at 0 K = 175 meV/atom
1.0
8.605 0.000 0.000
0.000 8.605 0.000
0.000 0.000 8.605
Sr Ca Eu Lu
4 4 4 4
Cartesian
0.000 0.000 0.000
0.000 4.302 4.302
4.302 0.000 4.302
4.302 4.302 0.000
2.151 2.151 6.454
2.151 6.454 2.151
6.454 2.151 2.151
6.454 6.454 6.454
0.000 0.000 4.302
0.000 4.302 0.000
4.302 0.000 0.000
4.302 4.302 4.302
2.151 2.151 2.151
2.151 6.454 6.454
6.454 2.151 6.454
6.454 6.454 2.151